An optimized crystal structure of TcHgMo2. Source: Alexandria, functional PBE.

The value obtained for the calculated formation energy is 0.456 eV per atom. The density of states at the Fermi level comes out at 1.0319 states/eV/atom. The total moment comes out at 0.000 μB per cell.

It has space group Immm (No. 71), with a = 3.2980 Å, b = 4.4512 Å, c = 9.0468 Å, α = 90.00°, β = 90.00° and γ = 90.00°. The inequivalent atoms are Tc at (0.0000, 0.0000, 0.0000), Hg at (0.0000, 0.0000, 0.5000) and Mo at (0.0000, 0.5000, 0.2684).